i:
Material: PbWBr2
Method: DFT, PBEsol
State: optimized geometry

Output
- Space-group type: Cmmm

Lattice parameters (Å, degrees): 5.0801 5.0801 3.2598 90.00 90.00 90.43
Fractional coordinates of all 4 atoms:
Pb (0.0000, 0.0000, 0.0000)
W (0.5000, 0.5000, 0.0000)
Br (0.0000, 0.5000, 0.5000)
Br (0.5000, 0.0000, 0.5000)

---

ii:
Material: PbWBr2
Method: DFT, PBEsol
State: optimized geometry

Output
- Space-group type: P4mm

Lattice parameters (Å, degrees): 3.2608 3.2608 8.3399 90.00 90.00 90.00
Fractional coordinates of all 4 atoms:
Pb (0.0000, 0.0000, 0.0000)
W (0.5000, 0.5000, 0.2630)
Br (0.0000, 0.0000, 0.4154)
Br (0.5000, 0.5000, 0.7445)

---

The structure shown above that is least stable: i.